Entry 1:
This record from Alexandria describes a relaxed structure of Sm8Dy5Mg. The functional is PBE.

a = 8.510 Å, b = 8.510 Å, c = 8.510 Å
α = 110.48°, β = 107.46°, γ = 110.48°
Positions (direct):
Sm1 0.163 0.727 0.070
Sm2 0.930 0.093 0.657
Sm3 0.740 0.262 0.344
Sm4 0.656 0.396 0.918
Sm5 0.522 0.604 0.260
Sm6 0.564 0.907 0.837
Sm7 0.343 0.273 0.436
Sm8 0.082 0.738 0.478
Dy1 0.024 0.308 0.125
Dy2 0.875 0.899 0.182
Dy3 0.818 0.692 0.717
Dy4 0.500 0.000 0.500
Dy5 0.283 0.101 0.976
Mg1 0.250 0.500 0.750

## Properties
Density of states at the Fermi level = 1.44 states/eV per atom
Calculated total energy = -59.05 eV/cell
Energy relative to the elements = 0.2367 eV/atom


Entry 2:
This record from Alexandria describes a relaxed structure of SnMo2Cl. The functional is PBE.

a = 7.187 Å, b = 7.187 Å, c = 5.830 Å
α = 51.95°, β = 51.95°, γ = 90.00°
Positions (direct):
Mo1 0.546 0.125 0.250
Mo2 0.204 0.625 0.250
Mo3 0.375 0.454 0.750
Mo4 0.875 0.796 0.750
Sn1 0.000 0.000 0.000
Sn2 0.750 0.250 0.500
Cl1 0.500 0.500 0.000
Cl2 0.250 0.750 0.500

## Properties
Density of states at the Fermi level = 1.73 states/eV per atom
ΔE to the lowest computed polymorph = 0.064 eV per atom
Calculated total energy = -48.33 eV/cell
Raw formation energy = 80.7 kJ/mol of atoms